Here is a crystal of MgGe3Pd relaxed with PBEsol from the Alexandria database. Energies are from SCAN.

```
MgGe3Pd
1.0
-0.5794 4.6741 1.0020
-4.6462 -0.7880 0.9894
1.1243 -0.8478 4.6048
Ge Mg Pd
3 1 1
Cartesian
-2.3231 -0.3940 0.4947
0.5622 -0.4239 2.3024
-0.2897 2.3370 0.5010
0.0000 0.0000 0.0000
-2.0506 1.5192 3.2981
```

Output
Uncorrected energy   -18.048 eV per atom
Size of the total moment   0.00 μB/f.u.
Formation enthalpy at 0 K   0.95 eV per atom

---

Here is a crystal of Pm2MgGe relaxed with PBEsol from the Alexandria database. Energies are from SCAN.

```
Pm2MgGe
1.0
-0.6367 -2.9556 4.2086
3.5113 0.1247 3.8090
-1.1855 2.1862 4.5463
Ge Mg Pm
1 1 2
Cartesian
0.8445 -0.3224 6.2820
0.0000 0.0000 0.0000
0.4223 -0.1612 3.1410
1.2668 -0.4836 9.4229
```

Output
Uncorrected energy   -28.417 eV per atom
Size of the total moment   0.04 μB/f.u.
Formation enthalpy at 0 K   -0.41 eV per atom

---

Here is a crystal of Pr4Mg7Ge6 relaxed with PBEsol from the Alexandria database. Energies are from SCAN.

```
Pr4Mg7Ge6
1.0
4.4054 0.0000 0.0000
2.2027 8.2906 0.0016
2.2027 1.5968 10.5345
Pr Mg Ge
4 7 6
Cartesian
4.4054 1.8367 4.0758
4.4054 8.0508 6.4602
4.4054 5.0790 1.6995
4.4054 4.8084 8.8366
6.6080 8.0236 1.4614
2.2027 1.8638 9.0746
6.6080 6.6781 4.1746
2.2027 3.2093 6.3614
2.2027 2.1183 1.6209
6.6080 7.7692 8.9152
4.4054 4.9437 5.2680
6.6080 5.9169 6.8669
2.2027 3.9706 3.6692
4.4054 2.3317 0.2523
4.4054 7.5557 10.2837
4.4054 8.0225 3.2787
4.4054 1.8650 7.2574
```

Output
Uncorrected energy   -19.596 eV per atom
Size of the total moment   0.00 μB/f.u.
Formation enthalpy at 0 K   -0.62 eV per atom

---

Here is a crystal of Pr2MgGe2 relaxed with PBEsol from the Alexandria database. Energies are from SCAN.

```
Pr2MgGe2
1.0
4.3617 0.0000 0.0000
0.0000 7.4435 0.0000
0.0000 0.0000 7.4435
Pr Mg Ge
4 2 4
Cartesian
2.1808 2.3910 6.1128
2.1808 6.1128 5.0525
2.1808 1.3307 2.3910
2.1808 5.0525 1.3307
0.0000 3.7218 3.7218
0.0000 0.0000 0.0000
0.0000 0.8944 4.6162
0.0000 4.6162 6.5491
0.0000 6.5491 2.8273
0.0000 2.8273 0.8944
```

Output
Uncorrected energy   -26.795 eV per atom
Size of the total moment   0.00 μB/f.u.
Formation enthalpy at 0 K   -0.84 eV per atom

---

Here is a crystal of Pr6MgGe2S14 relaxed with PBEsol from the Alexandria database. Energies are from SCAN.

```
Pr6MgGe2S14
1.0
5.7120 0.0000 0.0000
0.0000 10.1775 0.0000
0.0000 -5.0888 8.8140
Pr Mg Ge S
6 1 2 14
Cartesian
4.3351 7.1812 1.1137
4.3351 5.6225 5.6623
4.3351 2.4626 2.0381
1.4337 -2.0979 7.6943
1.4337 -0.5258 3.1500
1.4337 2.6237 6.7837
2.9524 0.0000 0.0000
1.0173 5.0888 2.9380
3.8181 0.0000 5.8760
4.3286 -0.3809 2.1908
4.3286 3.3819 7.3887
4.3286 -3.0010 8.0485
1.5879 5.4453 6.6206
1.5879 1.7213 1.4055
1.5879 8.0997 0.7880
3.1927 5.0888 2.9380
0.2870 0.0000 5.8760
0.1307 3.5119 4.2458
0.1307 4.7446 0.9185
0.1307 7.0098 3.6497
2.9488 1.5837 4.5694
2.9488 0.3397 7.9008
2.9488 -1.9234 5.1578
```

Output
Uncorrected energy   -20.881 eV per atom
Size of the total moment   0.00 μB/f.u.
Formation energy without anion corrections   -1.842 eV per atom

---

Here is a crystal of Mg2GePt2 relaxed with PBEsol from the Alexandria database. Energies are from SCAN.

```
Mg2GePt2
1.0
3.8291 0.0000 0.0000
0.0000 3.8291 0.0000
-1.9145 -1.9145 6.1737
Ge Mg Pt
1 2 2
Cartesian
0.0000 0.0000 0.0000
0.0000 1.9145 3.0869
1.9145 0.0000 3.0869
0.0000 0.0000 4.8823
1.9145 1.9145 1.2914
```

Output
Uncorrected energy   -34.175 eV per atom
Size of the total moment   0.00 μB/f.u.
Formation enthalpy at 0 K   -0.29 eV per atom

---

Here is a crystal of MgGe3Rh relaxed with PBEsol from the Alexandria database. Energies are from SCAN.

```
MgGe3Rh
1.0
4.7604 0.0000 0.0000
0.0000 4.7604 0.0000
0.0000 0.0000 4.7604
Ge Rh Mg
3 1 1
Cartesian
0.0000 2.3802 0.0000
0.0000 0.0000 2.3802
2.3802 0.0000 0.0000
0.0000 0.0000 0.0000
2.3802 2.3802 2.3802
```

Output
Uncorrected energy   -19.028 eV per atom
Size of the total moment   0.00 μB/f.u.
Formation enthalpy at 0 K   0.17 eV per atom

---

Here is a crystal of Mg3GeRu relaxed with PBEsol from the Alexandria database. Energies are from SCAN.

```
Mg3GeRu
1.0
-0.6143 -1.6474 4.5329
-2.6480 -3.7040 -1.7051
4.0311 -2.6842 -0.4292
Ru Ge Mg
1 1 3
Cartesian
0.0000 0.0000 0.0000
0.3844 -4.0178 1.1993
-1.3240 -1.8520 -0.8525
2.0155 -1.3421 -0.2146
-0.3072 -0.8237 2.2665
```

Output
Uncorrected energy   -13.266 eV per atom
Size of the total moment   0.00 μB/f.u.
Formation enthalpy at 0 K   0.50 eV per atom